VASP calculation (PBE) on an optimized crystal structure of Cs3Tb3TaSe8.

Total moment, Bohr magnetons per cell: 1.0
VASP energy, eV/atom: -5.238
Formation energy without anion corrections, kJ per mole of atoms: -144.0

a b c (Å): 8.247 8.247 9.814
angles (deg): 114.89 114.89 59.99
Element x y z (fractional)
Cs: 0.000 0.000 0.000
Cs: 0.000 0.500 0.000
Cs: 0.500 0.000 0.000
Tb: 0.000 0.500 0.500
Tb: 0.500 0.000 0.500
Tb: 0.500 0.500 0.500
Ta: 0.000 0.000 0.500
Se: 0.214 0.214 0.677
Se: 0.214 0.750 0.677
Se: 0.250 0.786 0.323
Se: 0.270 0.270 0.312
Se: 0.730 0.730 0.688
Se: 0.750 0.214 0.677
Se: 0.786 0.250 0.323
Se: 0.786 0.786 0.323